(1)
The following is a PBE-GGA calculation of MgTl2SnBr6 after structural relaxation, from the Alexandria database.

Unit cell a=7.5857 b=7.9929 c=13.3235 alpha=90.00 beta=124.55 gamma=90.00
Closest atoms and distances in Å follow each position.
Positions (direct):
Mg  0.0000  0.0000  0.0000  6 Br 2.70-2.73
Mg  0.0000  0.5000  0.5000  6 Br 2.70-2.73
Tl  0.2756  0.0765  0.7495  6 Br 3.34-3.56
Tl  0.2756  0.4235  0.2495  6 Br 3.34-3.56
Tl  0.7244  0.5765  0.7505  6 Br 3.34-3.56
Tl  0.7244  0.9235  0.2505  6 Br 3.34-3.56
Sn  0.5000  0.0000  0.5000  6 Br 2.99-3.01
Sn  0.5000  0.5000  0.0000  6 Br 2.99-3.01
Br  0.1390  0.0203  0.2367  1 Mg 2.70, 1 Sn 2.99
Br  0.1390  0.4797  0.7367  1 Mg 2.70, 1 Sn 2.99
Br  0.2312  0.7130  0.0488  1 Mg 2.73, 1 Sn 3.00
Br  0.2312  0.7870  0.5488  1 Mg 2.73, 1 Sn 3.00
Br  0.3384  0.1860  0.0460  1 Mg 2.72, 1 Sn 3.01
Br  0.3384  0.3140  0.5460  1 Mg 2.72, 1 Sn 3.01
Br  0.6616  0.6860  0.4540  1 Mg 2.72, 1 Sn 3.01
Br  0.6616  0.8140  0.9540  1 Mg 2.72, 1 Sn 3.01
Br  0.7688  0.2130  0.4512  1 Mg 2.73, 1 Sn 3.00
Br  0.7688  0.2870  0.9512  1 Mg 2.73, 1 Sn 3.00
Br  0.8610  0.5203  0.2633  1 Mg 2.70, 1 Sn 2.99
Br  0.8610  0.9797  0.7633  1 Mg 2.70, 1 Sn 2.99

Values from the calculation:
The value obtained for the density is 5.15 Mg/m³. Its space-group type is P2_1/c (14).

(2)
The following is a PBE-GGA calculation of SrMgBr2 after structural relaxation, from the Alexandria database.

Unit cell a=3.8006 b=3.8006 c=10.4289 alpha=90.00 beta=90.00 gamma=90.00
Closest atoms and distances in Å follow each position.
Positions (direct):
Sr  0.0000  0.0000  0.0000  8 Br 3.21
Mg  0.0000  0.0000  0.5000  4 Mg 3.80
Br  0.5000  0.5000  0.1678  4 Sr 3.21, 1 Br 3.50
Br  0.5000  0.5000  0.8322  4 Sr 3.21, 1 Br 3.50

Values from the calculation:
The value obtained for the energy above the lowest structure with this stoichiometry is 80 meV per atom. The value obtained for the density is 3.00 Mg/m³. Its space-group type is P4/mmm (123).

(3)
The following is a PBE-GGA calculation of SrMg2Br after structural relaxation, from the Alexandria database.

Unit cell a=10.1720 b=10.1720 c=10.1720 alpha=22.02 beta=22.02 gamma=22.02
Closest atoms and distances in Å follow each position.
Positions (direct):
Sr  0.0000  0.0000  0.0000  6 Mg 3.63, 6 Sr 3.89
Mg  0.2375  0.2375  0.2375  3 Br 3.08
Mg  0.7625  0.7625  0.7625  3 Br 3.08
Br  0.5000  0.5000  0.5000  6 Mg 3.08

Values from the calculation:
The value obtained for the energy above the lowest structure with this stoichiometry is 248 meV per atom. The value obtained for the density is 2.77 Mg/m³. Its space-group type is R-3m (166).

(4)
The following is a PBE-GGA calculation of SrMg2Br after structural relaxation, from the Alexandria database.

Unit cell a=4.3826 b=4.3826 c=6.9297 alpha=90.00 beta=90.00 gamma=90.00
Closest atoms and distances in Å follow each position.
Positions (direct):
Sr  0.0000  0.0000  0.0000  4 Br 3.10
Mg  0.0000  0.5000  0.5000  4 Mg 3.10
Mg  0.5000  0.0000  0.5000  4 Mg 3.10
Br  0.5000  0.5000  0.0000  4 Sr 3.10

Values from the calculation:
The value obtained for the energy above the lowest structure with this stoichiometry is 91 meV per atom. The value obtained for the density is 2.70 Mg/m³. Its space-group type is P4/mmm (123).

Number 1: DFT total energy -60.7 eV/cell, formation energy from raw total energies -10.004 eV per formula unit. Number 2: DFT total energy -11.3 eV/cell, formation energy from raw total energies -4.726 eV per formula unit. Number 3: DFT total energy -7.8 eV/cell, formation energy from raw total energies -1.253 eV per formula unit. Number 4: DFT total energy -8.4 eV/cell, formation energy from raw total energies -1.881 eV per formula unit.